The following is a GGA-PBE calculation of an optimized crystal structure of Na2CaTcO4, from Alexandria.

Computed properties:
The total energy comes out at -6.069 eV per atom. For the calculated volume, the calculation gives 13.91 Å³ per atom. The total moment comes out at 1.741 μB per formula unit. The value obtained for the energy relative to the elements, uncorrected is -1.71 eV/atom. Its space-group type is C2/c, No. 15.

a = 6.3901 Å, b = 6.3901 Å, c = 6.9026 Å
α = 116.12°, β = 116.12°, γ = 88.24°
With the nearest neighbours (Å) after each atom.
Sites, in units of the cell vectors:
Na 0.0000 0.0000 0.0000  4 O 2.25-2.49
Na 0.0000 0.0000 0.5000  4 O 2.25-2.49
Na 0.0000 0.5000 0.0000  4 O 2.34-2.38
Na 0.5000 0.0000 0.5000  4 O 2.34-2.38
Ca 0.0000 0.5000 0.5000  6 O 2.30-2.54
Ca 0.5000 0.0000 0.0000  6 O 2.30-2.54
Tc 0.5000 0.5000 0.0000  4 O 1.90-1.97
Tc 0.5000 0.5000 0.5000  4 O 1.90-1.97
O 0.2498 0.2579 0.3944  1 Tc 1.90
O 0.2579 0.2498 0.8944  1 Tc 1.90
O 0.2640 0.7056 0.9628  1 Tc 1.97
O 0.2944 0.7360 0.5372  1 Tc 1.97
O 0.7056 0.2640 0.4628  1 Tc 1.97
O 0.7360 0.2944 0.0372  1 Tc 1.97
O 0.7421 0.7502 0.1056  1 Tc 1.90
O 0.7502 0.7421 0.6056  1 Tc 1.90


The following is a GGA-PBE calculation of an optimized crystal structure of Pa3Sb2As, from Alexandria.

Computed properties:
The total energy comes out at -7.523 eV per atom. For the calculated volume, the calculation gives 27.49 Å³ per atom. The total moment comes out at 0.001 μB per formula unit. The value obtained for the energy relative to the elements, uncorrected is -0.63 eV/atom. The value obtained for the distance to the lowest polymorph of the same formula is 0.008 eV/atom. Its space-group type is C2/c, No. 15.

a = 7.4058 Å, b = 7.4058 Å, c = 7.3349 Å
α = 99.65°, β = 99.65°, γ = 119.58°
With the nearest neighbours (Å) after each atom.
Sites, in units of the cell vectors:
Pa 0.0000 0.5000 0.0000  2 As 2.93, 4 Sb 3.02-3.05
Pa 0.1424 0.2948 0.4882  2 As 2.91, 4 Sb 3.06-3.15
Pa 0.2948 0.1424 0.9882  2 As 2.91, 4 Sb 3.06-3.15
Pa 0.5000 0.0000 0.5000  2 As 2.93, 4 Sb 3.02-3.05
Pa 0.7052 0.8576 0.0118  2 As 2.91, 4 Sb 3.06-3.15
Pa 0.8576 0.7052 0.5118  2 As 2.91, 4 Sb 3.06-3.15
Sb 0.2633 0.7367 0.7500  6 Pa 3.02-3.10
Sb 0.4205 0.5795 0.2500  6 Pa 3.05-3.15
Sb 0.5795 0.4205 0.7500  6 Pa 3.05-3.15
Sb 0.7367 0.2633 0.2500  6 Pa 3.02-3.10
As 0.0929 0.9071 0.2500  6 Pa 2.91-2.93
As 0.9071 0.0929 0.7500  6 Pa 2.91-2.93


The following is a GGA-PBE calculation of an optimized crystal structure of PmNd2Dy7, from Alexandria.

Computed properties:
The total energy comes out at -4.487 eV per atom. For the calculated volume, the calculation gives 33.31 Å³ per atom. The total moment comes out at 0.000 μB per formula unit. The value obtained for the distance to the lowest polymorph of the same formula is 0.000 eV/atom. The formation energy is 1.6 eV/f.u. Its space-group type is Cmmm, No. 65.

a = 14.8545 Å, b = 14.8545 Å, c = 3.5157 Å
α = 90.00°, β = 90.00°, γ = 154.57°
With the nearest neighbours (Å) after each atom.
Sites, in units of the cell vectors:
Pm 0.0000 0.0000 0.0000  2 Pm 3.52, 12 Dy 3.71-3.73
Nd 0.2929 0.7071 0.5000  2 Nd 3.52, 8 Dy 3.55-3.76
Nd 0.7071 0.2929 0.5000  2 Nd 3.52, 8 Dy 3.55-3.76
Dy 0.1484 0.3458 0.5000  7 Dy 3.23-3.52, 1 Nd 3.55
Dy 0.1855 0.8145 0.0000  6 Dy 3.47-3.52, 6 Nd 3.57-3.76
Dy 0.3458 0.1484 0.5000  7 Dy 3.23-3.52, 1 Nd 3.55
Dy 0.5000 0.5000 0.5000  6 Dy 3.30-3.52
Dy 0.6542 0.8516 0.5000  7 Dy 3.23-3.52, 1 Nd 3.55
Dy 0.8145 0.1855 0.0000  6 Dy 3.47-3.52, 6 Nd 3.57-3.76
Dy 0.8516 0.6542 0.5000  7 Dy 3.23-3.52, 1 Nd 3.55


The following is a GGA-PBE calculation of an optimized crystal structure of TaSb2Ru, from Alexandria.

Computed properties:
The total energy comes out at -6.955 eV per atom. For the calculated volume, the calculation gives 19.59 Å³ per atom. The total moment comes out at 0.000 μB per formula unit. The value obtained for the energy relative to the elements, uncorrected is 0.39 eV/atom. The value obtained for the distance to the lowest polymorph of the same formula is 0.466 eV/atom. Its space-group type is C2/m, No. 12.

a = 5.3411 Å, b = 5.3411 Å, c = 3.1148 Å
α = 103.11°, β = 103.11°, γ = 107.30°
With the nearest neighbours (Å) after each atom.
Sites, in units of the cell vectors:
Ta 0.0000 0.0000 0.0000  4 Sb 2.77
Sb 0.0000 0.5000 0.5000  2 Ru 2.77, 2 Ta 2.77
Sb 0.5000 0.0000 0.5000  2 Ru 2.77, 2 Ta 2.77
Ru 0.5000 0.5000 0.0000  4 Sb 2.77


The following is a GGA-PBE calculation of an optimized crystal structure of CaMg2Tl, from Alexandria.

Computed properties:
The total energy comes out at -1.933 eV per atom. For the calculated volume, the calculation gives 28.34 Å³ per atom. The total moment comes out at 0.000 μB per formula unit. The value obtained for the distance to the lowest polymorph of the same formula is 0.162 eV/atom. The formation energy is -0.2 eV/f.u. Its space-group type is Cmmm, No. 65.

a = 6.0099 Å, b = 6.0099 Å, c = 3.4577 Å
α = 90.00°, β = 90.00°, γ = 114.81°
With the nearest neighbours (Å) after each atom.
Sites, in units of the cell vectors:
Ca 0.0000 0.0000 0.0000  2 Tl 3.24, 2 Ca 3.46, 8 Mg 3.47
Mg 0.0000 0.5000 0.5000  4 Mg 3.24-3.46, 4 Tl 3.47, 4 Ca 3.47
Mg 0.5000 0.0000 0.5000  4 Mg 3.24-3.46, 4 Tl 3.47, 4 Ca 3.47
Tl 0.5000 0.5000 0.0000  2 Ca 3.24, 2 Tl 3.46, 8 Mg 3.47


The following is a GGA-PBE calculation of an optimized crystal structure of ZnSbW4, from Alexandria.

Computed properties:
The total energy comes out at -8.815 eV per atom. For the calculated volume, the calculation gives 18.08 Å³ per atom. The total moment comes out at 0.000 μB per formula unit. The value obtained for the energy relative to the elements, uncorrected is 0.72 eV/atom. Its space-group type is F-43m, No. 216.

a = 5.3533 Å, b = 5.3533 Å, c = 5.3533 Å
α = 60.00°, β = 60.00°, γ = 60.00°
With the nearest neighbours (Å) after each atom.
Sites, in units of the cell vectors:
Zn 0.0000 0.0000 0.0000  12 W 3.14, 4 Sb 3.28
Sb 0.7500 0.7500 0.7500  12 W 3.14, 4 Zn 3.28
W 0.3736 0.3736 0.3736  6 W 2.65-2.71
W 0.3736 0.3736 0.8791  6 W 2.65-2.71
W 0.3736 0.8791 0.3736  6 W 2.65-2.71
W 0.8791 0.3736 0.3736  6 W 2.65-2.71


The following is a GGA-PBE calculation of an optimized crystal structure of OsBrNO2, from Alexandria.

Computed properties:
The total energy comes out at -5.959 eV per atom. For the calculated volume, the calculation gives 12.05 Å³ per atom. The total moment comes out at 0.000 μB per formula unit. The value obtained for the energy relative to the elements, uncorrected is 0.27 eV/atom. Its space-group type is P4/mmm, No. 123.

a = 3.8787 Å, b = 3.8787 Å, c = 4.0060 Å
α = 90.00°, β = 90.00°, γ = 90.00°
With the nearest neighbours (Å) after each atom.
Sites, in units of the cell vectors:
Os 0.0000 0.0000 0.0000  4 O 1.94, 2 N 2.00
Br 0.5000 0.5000 0.5000  4 N 2.74, 8 O 2.79
N 0.0000 0.0000 0.5000  2 Os 2.00
O 0.0000 0.5000 0.0000  2 Os 1.94
O 0.5000 0.0000 0.0000  2 Os 1.94


Look up the total moment of the fourth one.
0.000 μB per formula unit


What is the total moment in the second record?
0.001 μB per formula unit


What is the formula in the fifth record?
CaMg2Tl